{"formula": "KFe2RuO", "functional": "PBE+U", "state": "relaxed", "sg": "No. 123", "dft_energy_ev_per_atom": -3.28, "crystal_system": "tetragonal", "total_magnetization_mub_per_atom": 1.948, "lattice": [[-2.7142, 3.2110, 2.9570], [2.2036, -1.1302, 3.2500], [3.3719, 3.7536, -0.9809]], "species": ["K", "Fe", "Fe", "Ru", "O"], "fractional_positions": [[0.0000, 0.0000, 0.0000], [0.5000, 0.0000, 0.0000], [0.0000, 0.0000, 0.5000], [0.5000, 0.5000, 0.5000], [0.0000, 0.5000, 0.0000]]}